No. 1
An optimized crystal structure of RbLi2Pt2, computed with GGA-PBE.

Values from the calculation:
Calculated formation energy: -1.08 eV per formula unit
ΔE to the lowest computed polymorph: 0 meV/atom
E: -35.92 eV/cell

abc: 8.2215 8.2215 2.8087
angles: 90.00 90.00 90.00
Last column: nearest neighbours and their distance in Å.
Space group P4/mbm (No. 127)
Symmetry-distinct sites (fractional):
Rb1 0.0000 0.0000 0.0000 (multiplicity 2)  2 Rb 2.81
Li1 0.1249 0.3751 0.0000 (multiplicity 4)  6 Pt 2.72-2.90, 3 Li 2.81-2.90
Pt1 0.1572 0.6572 0.5000 (multiplicity 4)  6 Li 2.72-2.90, 2 Pt 2.81

No. 2
An optimized crystal structure of ReRh, computed with GGA-PBE.

Values from the calculation:
Calculated formation energy: -0.19 eV per formula unit
ΔE to the lowest computed polymorph: 81 meV/atom
E: -79.97 eV/cell

abc: 9.9879 2.7342 4.8016
angles: 90.00 117.93 90.00
Last column: nearest neighbours and their distance in Å.
Space group C2/m (No. 12)
Symmetry-distinct sites (fractional):
Re1 0.1260 0.0000 0.2901 (multiplicity 4)  7 Rh 2.68-2.80, 5 Re 2.72-2.74
Rh1 0.1203 0.5000 0.7923 (multiplicity 4)  7 Re 2.68-2.80, 5 Rh 2.71-2.78

No. 3
An optimized crystal structure of YTa2Se, computed with GGA-PBE.

Values from the calculation:
E: -64.72 eV/cell
Uncorrected formation energy: 7.47 kcal/mol of atoms

abc: 5.6248 9.1605 3.2139
angles: 90.00 90.00 90.00
Last column: nearest neighbours and their distance in Å.
Space group Cmmm (No. 65)
Symmetry-distinct sites (fractional):
Y1 0.0000 0.0000 0.0000 (multiplicity 2)  2 Se 2.81, 8 Ta 3.13
Ta1 0.2500 0.2500 0.5000 (multiplicity 4)  2 Ta 2.81, 4 Se 3.13, 4 Y 3.13
Se1 0.0000 0.5000 0.0000 (multiplicity 2)  2 Y 2.81, 8 Ta 3.13

No. 4
An optimized crystal structure of TcAu3F, computed with GGA-PBE.

Values from the calculation:
ΔE to the lowest computed polymorph: 204 meV/atom
E: -16.59 eV/cell
Uncorrected formation energy: 25.25 kcal/mol of atoms

abc: 5.0002 5.0002 5.0002
angles: 90.00 90.00 90.00
Last column: nearest neighbours and their distance in Å.
Space group Pm-3m (No. 221)
Symmetry-distinct sites (fractional):
Tc1 0.0000 0.0000 0.0000 (multiplicity 1)  6 Au 2.50
Au1 0.0000 0.0000 0.5000 (multiplicity 3)  2 Tc 2.50
F1 0.5000 0.5000 0.5000 (multiplicity 1)  12 Au 3.54

What did the fourth record say?
An optimized crystal structure of TcAu3F, computed with GGA-PBE.

Values from the calculation:
ΔE to the lowest computed polymorph: 204 meV/atom
E: -16.59 eV/cell
Uncorrected formation energy: 25.25 kcal/mol of atoms

abc: 5.0002 5.0002 5.0002
angles: 90.00 90.00 90.00
Last column: nearest neighbours and their distance in Å.
Space group Pm-3m (No. 221)
Symmetry-distinct sites (fractional):
Tc1 0.0000 0.0000 0.0000 (multiplicity 1)  6 Au 2.50
Au1 0.0000 0.0000 0.5000 (multiplicity 3)  2 Tc 2.50
F1 0.5000 0.5000 0.5000 (multiplicity 1)  12 Au 3.54

Question: Which value of E does entry 2 give?
Answer: -79.97 eV/cell

Question: The highest E belongs to which entry?
Answer: TcAu3F